Record 1
Entry from Alexandria: a relaxed InPW crystal (PBE).

It has space group P-6m2 (No. 187), with a = 4.1163 Å, b = 4.1163 Å, c = 3.7475 Å, α = 90.00°, β = 90.00° and γ = 120.00°. The inequivalent atoms are In at (0.0000, 0.0000, 0.0000), P at (0.6667, 0.3333, 0.5000) and W at (0.3333, 0.6667, 0.5000).

The energy above the lowest structure with this stoichiometry is 16.3 kJ per mole of atoms. Its formation energy is 235 meV/atom. The spin magnetization is 0.0 μB/cell. For the uncorrected energy, the calculation gives -6.798 eV per atom. As for the mass density: 9.954 g cm⁻³.



Record 2
Entry from Alexandria: a relaxed RuRhPb crystal (PBE).

It has space group I4mm (No. 107), with a = 3.055 Å, b = 3.055 Å, c = 11.358 Å, α = 90.00°, β = 90.00° and γ = 90.00°. The inequivalent atoms are Ru at (0.000, 0.000, 0.000), Rh at (0.000, 0.000, 0.365) and Pb at (0.000, 0.000, 0.681).

The energy above the lowest structure with this stoichiometry is 0.0 kJ per mole of atoms. Its formation energy is 418 meV/atom. The spin magnetization is 1.0 μB/cell. For the uncorrected energy, the calculation gives -6.360 eV per atom. As for the mass density: 12.882 g cm⁻³.



Record 3
Entry from Alexandria: a relaxed YOs2Cl crystal (PBE).

It has space group Imm2 (No. 44), with a = 3.833 Å, b = 5.277 Å, c = 8.352 Å, α = 90.00°, β = 90.00° and γ = 90.00°. The inequivalent atoms are Y at (0.000, 0.000, 0.000), Os at (0.000, 0.000, 0.509), Os at (0.000, 0.500, 0.167) and Cl at (0.000, 0.500, 0.779).

The energy above the lowest structure with this stoichiometry is 49.0 kJ per mole of atoms. The spin magnetization is 0.0 μB/cell. For the uncorrected energy, the calculation gives -7.403 eV per atom. The uncorrected formation energy is 0.289 eV/atom. As for the mass density: 9.926 g cm⁻³.



Record 4
Entry from Alexandria: a relaxed RePOsS2 crystal (PBE).

It has space group P4/mmm (No. 123), with a = 4.431 Å, b = 4.431 Å, c = 5.058 Å, α = 90.00°, β = 90.00° and γ = 90.00°. The inequivalent atoms are Re at (0.000, 0.000, 0.000), P at (0.500, 0.500, 0.000), Os at (0.500, 0.500, 0.500) and S at (0.000, 0.500, 0.500).

The energy above the lowest structure with this stoichiometry is 2.8 kJ per mole of atoms. The spin magnetization is 3.1 μB/cell. For the uncorrected energy, the calculation gives -5.990 eV per atom. The uncorrected formation energy is 1.478 eV/atom. As for the mass density: 7.886 g cm⁻³.



Record 5
Entry from Alexandria: a relaxed Ac2TbHg crystal (PBE).

It has space group Fm-3m (No. 225), with a = 8.258 Å, b = 8.258 Å, c = 8.258 Å, α = 90.00°, β = 90.00° and γ = 90.00°. The inequivalent atoms are Ac at (0.250, 0.250, 0.250), Tb at (0.000, 0.000, 0.000) and Hg at (0.000, 0.000, 0.500).

The energy above the lowest structure with this stoichiometry is 15.3 kJ per mole of atoms. Its formation energy is -45 meV/atom. The spin magnetization is 0.0 μB/cell. For the uncorrected energy, the calculation gives -3.332 eV per atom. As for the mass density: 9.595 g cm⁻³.



Record 6
Entry from Alexandria: a relaxed Er2Zn12Ni5 crystal (PBE).

It has space group R-3m (No. 166, hexagonal axes), with a = 8.7820 Å, b = 8.7820 Å, c = 12.6456 Å, α = 90.00°, β = 90.00° and γ = 120.00°. The inequivalent atoms are Er at (0.0000, 0.0000, 0.1731), Zn at (0.0000, 0.2881, 0.5000), Zn at (0.0076, 0.5038, 0.3494), Ni at (0.0000, 0.0000, 0.3981) and Ni at (0.0000, 0.5000, 0.0000).

Its formation energy is -284 meV/atom. The spin magnetization is 0.0 μB/cell. For the uncorrected energy, the calculation gives -3.090 eV per atom. As for the mass density: 8.333 g cm⁻³.



Record 7
Entry from Alexandria: a relaxed La8CoIr3Br3 crystal (PBE).

It has space group C2/m (No. 12), with a = 14.532 Å, b = 8.381 Å, c = 9.198 Å, α = 90.00°, β = 121.64° and γ = 90.00°. The inequivalent atoms are La at (0.017, 0.244, 0.307), La at (0.228, 0.000, 0.693), La at (0.233, 0.500, 0.697), Co at (0.000, 0.000, 0.500), Ir at (0.000, 0.500, 0.500), Ir at (0.250, 0.250, 0.500), Br at (0.000, 0.000, 0.000) and Br at (0.250, 0.250, 0.000).

The spin magnetization is 1.0 μB/cell. For the uncorrected energy, the calculation gives -6.195 eV per atom. The uncorrected formation energy is -0.987 eV/atom. As for the mass density: 6.918 g cm⁻³.



Record 8
Entry from Alexandria: a relaxed LiTa2HgGe crystal (PBE).

It has space group P4/mmm (No. 123), with a = 4.838 Å, b = 4.838 Å, c = 5.095 Å, α = 90.00°, β = 90.00° and γ = 90.00°. The inequivalent atoms are Li at (0.000, 0.000, 0.000), Ta at (0.000, 0.500, 0.500), Hg at (0.500, 0.500, 0.000) and Ge at (0.500, 0.500, 0.500).

Its formation energy is 1169 meV/atom. The spin magnetization is 0.0 μB/cell. For the uncorrected energy, the calculation gives -4.939 eV per atom. As for the mass density: 8.941 g cm⁻³.



Record 9
Entry from Alexandria: a relaxed InRu crystal (PBE).

It has space group I4/mmm (No. 139), with a = 2.970 Å, b = 2.970 Å, c = 16.721 Å, α = 90.00°, β = 90.00° and γ = 90.00°. The inequivalent atoms are In at (0.000, 0.000, 0.086) and Ru at (0.000, 0.000, 0.297).

Its formation energy is 29 meV/atom. The spin magnetization is 0.0 μB/cell. For the uncorrected energy, the calculation gives -5.978 eV per atom. As for the mass density: 9.723 g cm⁻³.



Record 10
Entry from Alexandria: a relaxed Ti2N crystal (PBE).

It has space group P4/nmm (No. 129, origin choice 2), with a = 3.262 Å, b = 3.262 Å, c = 6.314 Å, α = 90.00°, β = 90.00° and γ = 90.00°. The inequivalent atoms are Ti at (0.250, 0.250, 0.130), Ti at (0.250, 0.750, 0.500) and N at (0.250, 0.250, 0.765).

The spin magnetization is 0.0 μB/cell. For the uncorrected energy, the calculation gives -8.569 eV per atom. The uncorrected formation energy is -0.531 eV/atom. As for the mass density: 5.424 g cm⁻³.



Record 11
Entry from Alexandria: a relaxed GaAu crystal (PBE).

It has space group P1 (No. 1), with a = 3.595 Å, b = 4.460 Å, c = 5.481 Å, α = 82.42°, β = 71.70° and γ = 66.79°. The inequivalent atoms are Ga at (0.000, 0.000, 0.000), Ga at (0.193, 0.149, 0.460), Au at (0.410, 0.423, 0.768) and Au at (0.591, 0.590, 0.226).

Its formation energy is -144 meV/atom. The spin magnetization is 0.0 μB/cell. For the uncorrected energy, the calculation gives -3.296 eV per atom. As for the mass density: 11.551 g cm⁻³.



Record 12
Entry from Alexandria: a relaxed Ho2ZrSn crystal (PBE).

It has space group R-3m (No. 166, hexagonal axes), with a = 3.4001 Å, b = 3.4001 Å, c = 34.5258 Å, α = 90.00°, β = 90.00° and γ = 120.00°. The inequivalent atoms are Ho at (0.0000, 0.0000, 0.0907), Zr at (0.0000, 0.0000, 0.5000) and Sn at (0.0000, 0.0000, 0.0000).

The energy above the lowest structure with this stoichiometry is 40.1 kJ per mole of atoms. Its formation energy is 82 meV/atom. The spin magnetization is 0.0 μB/cell. For the uncorrected energy, the calculation gives -5.345 eV per atom. As for the mass density: 7.779 g cm⁻³.